Record 1
Entry from Alexandria via LeMat-Bulk: a relaxed structure of K2NaAgSe2 (PBE-GGA).

**Calculated density**: 3.63 Mg/m³
**Total magnetization**: 0.00 Bohr magnetons per cell
**Energy**: -3.11 eV per atom
**Space-group type**: Ibam

Geometry as CIF:
```
data_K2NaAgSe2
_chemical_formula_sum 'K4 Na2 Ag2 Se4'
_symmetry_space_group_name_H-M 'P 1'
_symmetry_Int_Tables_number 1
_cell_length_a 9.042
_cell_length_b 9.042
_cell_length_c 9.042
_cell_angle_alpha 137.17
_cell_angle_beta 61.99
_cell_angle_gamma 137.42
loop_
_symmetry_equiv_pos_as_xyz
'x,y,z'
loop_
_atom_site_label
_atom_site_type_symbol
_atom_site_fract_x
_atom_site_fract_y
_atom_site_fract_z
_atom_site_occupancy
K1 K 0.172 0.240 0.412 1
K2 K 0.328 0.740 0.068 1
K3 K 0.672 0.260 0.932 1
K4 K 0.828 0.760 0.588 1
Na1 Na 0.250 0.750 0.500 1
Na2 Na 0.750 0.250 0.500 1
Ag1 Ag 0.250 0.250 0.000 1
Ag2 Ag 0.750 0.750 0.000 1
Se1 Se 0.109 0.758 0.867 1
Se2 Se 0.391 0.258 0.649 1
Se3 Se 0.609 0.742 0.351 1
Se4 Se 0.891 0.242 0.133 1
```


Record 2
Entry from Alexandria via LeMat-Bulk: a relaxed structure of RbTmGe2O6 (PBE-GGA).

**Calculated density**: 5.36 Mg/m³
**Total magnetization**: 0.00 Bohr magnetons per cell
**Energy**: -6.56 eV per atom
**Space-group type**: C2/c
**DOS(E_F)**: 0.00 states/eV/cell

Geometry as CIF:
```
data_RbTmGe2O6
_chemical_formula_sum 'Rb2 Tm2 Ge4 O12'
_symmetry_space_group_name_H-M 'P 1'
_symmetry_Int_Tables_number 1
_cell_length_a 7.560
_cell_length_b 7.560
_cell_length_c 5.411
_cell_angle_alpha 94.27
_cell_angle_beta 94.27
_cell_angle_gamma 93.37
loop_
_symmetry_equiv_pos_as_xyz
'x,y,z'
loop_
_atom_site_label
_atom_site_type_symbol
_atom_site_fract_x
_atom_site_fract_y
_atom_site_fract_z
_atom_site_occupancy
Rb1 Rb 0.092 0.908 0.750 1
Rb2 Rb 0.908 0.092 0.250 1
Tm1 Tm 0.281 0.719 0.250 1
Tm2 Tm 0.719 0.281 0.750 1
Ge1 Ge 0.212 0.381 0.733 1
Ge2 Ge 0.381 0.212 0.233 1
Ge3 Ge 0.619 0.788 0.767 1
Ge4 Ge 0.788 0.619 0.267 1
O1 O 0.005 0.263 0.711 1
O2 O 0.215 0.585 0.895 1
O3 O 0.263 0.005 0.211 1
O4 O 0.270 0.392 0.405 1
O5 O 0.392 0.270 0.905 1
O6 O 0.415 0.785 0.605 1
O7 O 0.585 0.215 0.395 1
O8 O 0.608 0.730 0.095 1
O9 O 0.730 0.608 0.595 1
O10 O 0.737 0.995 0.789 1
O11 O 0.785 0.415 0.105 1
O12 O 0.995 0.737 0.289 1
```


Record 3
Entry from Alexandria via LeMat-Bulk: a relaxed structure of RbPa2C (PBE-GGA).

**Calculated density**: 8.57 Mg/m³
**Total magnetization**: 0.00 Bohr magnetons per cell
**Calculated formation energy**: 0.22 eV per atom
**Space-group type**: R-3m
**DOS(E_F)**: 18.91 states/eV/cell

Geometry as CIF:
```
data_RbPa2C
_chemical_formula_sum 'Rb3 Pa6 C3'
_symmetry_space_group_name_H-M 'P 1'
_symmetry_Int_Tables_number 1
_cell_length_a 3.429
_cell_length_b 3.429
_cell_length_c 31.948
_cell_angle_alpha 90.00
_cell_angle_beta 90.00
_cell_angle_gamma 120.00
loop_
_symmetry_equiv_pos_as_xyz
'x,y,z'
loop_
_atom_site_label
_atom_site_type_symbol
_atom_site_fract_x
_atom_site_fract_y
_atom_site_fract_z
_atom_site_occupancy
Rb1 Rb 0.000 0.000 0.000 1
Rb2 Rb 0.333 0.667 0.667 1
Rb3 Rb 0.667 0.333 0.333 1
Pa1 Pa 0.000 0.000 0.122 1
Pa2 Pa 0.000 0.000 0.878 1
Pa3 Pa 0.333 0.667 0.545 1
Pa4 Pa 0.333 0.667 0.788 1
Pa5 Pa 0.667 0.333 0.212 1
Pa6 Pa 0.667 0.333 0.455 1
C1 C 0.000 0.000 0.500 1
C2 C 0.333 0.667 0.167 1
C3 C 0.667 0.333 0.833 1
```


Record 4
Entry from Alexandria via LeMat-Bulk: a relaxed structure of Ti6PtRh (PBE-GGA).

**Calculated density**: 7.61 Mg/m³
**Total magnetization**: 0.00 Bohr magnetons per cell
**Calculated formation energy**: -0.42 eV per atom
**Energy above the lowest structure with this stoichiometry**: 1.4 kJ/mol of atoms
**Space-group type**: P-1
**DOS(E_F)**: 9.81 states/eV/cell

Geometry as CIF:
```
data_Ti6PtRh
_chemical_formula_sum 'Ti6 Pt1 Rh1'
_symmetry_space_group_name_H-M 'P 1'
_symmetry_Int_Tables_number 1
_cell_length_a 4.377
_cell_length_b 5.252
_cell_length_c 5.735
_cell_angle_alpha 104.46
_cell_angle_beta 90.02
_cell_angle_gamma 90.10
loop_
_symmetry_equiv_pos_as_xyz
'x,y,z'
loop_
_atom_site_label
_atom_site_type_symbol
_atom_site_fract_x
_atom_site_fract_y
_atom_site_fract_z
_atom_site_occupancy
Ti1 Ti 0.000 0.008 0.253 1
Ti2 Ti 0.000 0.992 0.747 1
Ti3 Ti 0.500 0.251 0.109 1
Ti4 Ti 0.500 0.255 0.609 1
Ti5 Ti 0.500 0.745 0.391 1
Ti6 Ti 0.500 0.749 0.891 1
Pt1 Pt 0.000 0.500 0.000 1
Rh1 Rh 0.000 0.500 0.500 1
```


Record 5
Entry from Alexandria via LeMat-Bulk: a relaxed structure of ZrTl2I8 (PBE-GGA).

**Calculated density**: 4.70 Mg/m³
**Total magnetization**: 0.00 Bohr magnetons per cell
**Energy**: -2.94 eV per atom
**Space-group type**: C2/m

Geometry as CIF:
```
data_ZrTl2I8
_chemical_formula_sum 'Zr1 Tl2 I8'
_symmetry_space_group_name_H-M 'P 1'
_symmetry_Int_Tables_number 1
_cell_length_a 8.377
_cell_length_b 8.377
_cell_length_c 7.779
_cell_angle_alpha 90.50
_cell_angle_beta 90.50
_cell_angle_gamma 78.86
loop_
_symmetry_equiv_pos_as_xyz
'x,y,z'
loop_
_atom_site_label
_atom_site_type_symbol
_atom_site_fract_x
_atom_site_fract_y
_atom_site_fract_z
_atom_site_occupancy
Zr1 Zr 0.000 0.000 0.000 1
Tl1 Tl 0.316 0.316 0.000 1
Tl2 Tl 0.684 0.684 0.000 1
I1 I 0.065 0.690 0.170 1
I2 I 0.145 0.145 0.288 1
I3 I 0.310 0.935 0.830 1
I4 I 0.446 0.446 0.656 1
I5 I 0.554 0.554 0.344 1
I6 I 0.690 0.065 0.170 1
I7 I 0.855 0.855 0.712 1
I8 I 0.935 0.310 0.830 1
```


Record 6
Entry from Alexandria via LeMat-Bulk: a relaxed structure of HoZnHgPb (PBE-GGA).

**Calculated density**: 10.80 Mg/m³
**Total magnetization**: 0.00 Bohr magnetons per cell
**Calculated formation energy**: -0.14 eV per atom
**Space-group type**: F-43m
**DOS(E_F)**: 12.16 states/eV/cell

Geometry as CIF:
```
data_HoZnHgPb
_chemical_formula_sum 'Ho4 Zn4 Hg4 Pb4'
_symmetry_space_group_name_H-M 'P 1'
_symmetry_Int_Tables_number 1
_cell_length_a 7.322
_cell_length_b 7.322
_cell_length_c 7.322
_cell_angle_alpha 90.00
_cell_angle_beta 90.00
_cell_angle_gamma 90.00
loop_
_symmetry_equiv_pos_as_xyz
'x,y,z'
loop_
_atom_site_label
_atom_site_type_symbol
_atom_site_fract_x
_atom_site_fract_y
_atom_site_fract_z
_atom_site_occupancy
Ho1 Ho 0.000 0.000 0.000 1
Ho2 Ho 0.000 0.500 0.500 1
Ho3 Ho 0.500 0.000 0.500 1
Ho4 Ho 0.500 0.500 0.000 1
Zn1 Zn 0.250 0.250 0.250 1
Zn2 Zn 0.250 0.750 0.750 1
Zn3 Zn 0.750 0.250 0.750 1
Zn4 Zn 0.750 0.750 0.250 1
Hg1 Hg 0.250 0.250 0.750 1
Hg2 Hg 0.250 0.750 0.250 1
Hg3 Hg 0.750 0.250 0.250 1
Hg4 Hg 0.750 0.750 0.750 1
Pb1 Pb 0.000 0.000 0.500 1
Pb2 Pb 0.000 0.500 0.000 1
Pb3 Pb 0.500 0.000 0.000 1
Pb4 Pb 0.500 0.500 0.500 1
```


What is the total magnetization in the fourth record? 0.00 Bohr magnetons per cell


Repeat the fourth record exactly.
Entry from Alexandria via LeMat-Bulk: a relaxed structure of Ti6PtRh (PBE-GGA).

**Calculated density**: 7.61 Mg/m³
**Total magnetization**: 0.00 Bohr magnetons per cell
**Calculated formation energy**: -0.42 eV per atom
**Energy above the lowest structure with this stoichiometry**: 1.4 kJ/mol of atoms
**Space-group type**: P-1
**DOS(E_F)**: 9.81 states/eV/cell

Geometry as CIF:
```
data_Ti6PtRh
_chemical_formula_sum 'Ti6 Pt1 Rh1'
_symmetry_space_group_name_H-M 'P 1'
_symmetry_Int_Tables_number 1
_cell_length_a 4.377
_cell_length_b 5.252
_cell_length_c 5.735
_cell_angle_alpha 104.46
_cell_angle_beta 90.02
_cell_angle_gamma 90.10
loop_
_symmetry_equiv_pos_as_xyz
'x,y,z'
loop_
_atom_site_label
_atom_site_type_symbol
_atom_site_fract_x
_atom_site_fract_y
_atom_site_fract_z
_atom_site_occupancy
Ti1 Ti 0.000 0.008 0.253 1
Ti2 Ti 0.000 0.992 0.747 1
Ti3 Ti 0.500 0.251 0.109 1
Ti4 Ti 0.500 0.255 0.609 1
Ti5 Ti 0.500 0.745 0.391 1
Ti6 Ti 0.500 0.749 0.891 1
Pt1 Pt 0.000 0.500 0.000 1
Rh1 Rh 0.000 0.500 0.500 1
```


What is the calculated density in the fourth record? 7.61 Mg/m³


Among the records above, which one has the highest calculated density? HoZnHgPb